{
  "formula": "Cr4CoAg",
  "functional": "PBE",
  "state": "optimized geometry",
  "e_form_ev_per_atom": 0.43,
  "total_magnetization_mub_per_fu": 1.10,
  "mass_density_g_cm3": 8.199,
  "lattice": [[3.6241, -2.9290, 0.9350], [-0.0952, -4.4796, -1.5850], [2.9281, -1.3477, -3.4925]],
  "species": ["Cr", "Cr", "Cr", "Cr", "Co", "Ag"],
  "fractional_positions": [[0.8732, 0.3756, 0.3756], [0.3756, 0.3756, 0.8732], [0.3756, 0.8732, 0.3756], [0.3756, 0.3756, 0.3756], [0.0000, 0.0000, 0.0000], [0.7500, 0.7500, 0.7500]]
}